# Pm2NdHo2Er (PBE-GGA, relaxed)
data_Pm2NdHo2Er
_space_group_name_H-M_alt 'P n n m'
_space_group_IT_number 58
_space_group_name_Hall '-P 2 2n'
_cell_length_a 6.1176
_cell_length_b 18.3504
_cell_length_c 3.5556
_cell_angle_alpha 90.00
_cell_angle_beta 90.00
_cell_angle_gamma 90.00
loop_
_atom_site_label
_atom_site_fract_x
_atom_site_fract_y
_atom_site_fract_z
Pm1 0.1648 0.1567 0.0000
Nd1 0.0000 0.5000 0.5000
Ho1 0.1641 0.3434 0.0000
Er1 0.0000 0.0000 0.5000
# Calculated formation energy: 0.103 eV per atom
# DFT total energy: -54.733 eV per cell